VASP calculation (PBE-GGA) on an optimized crystal structure of Li4B.

a b c (Å): 4.377 4.377 4.377
angles (deg): 90.00 90.00 90.00
Sites, in units of the cell vectors:
Li: 0.000 0.000 0.000
Li: 0.000 0.500 0.500
Li: 0.500 0.000 0.500
Li: 0.500 0.500 0.000
B: 0.500 0.500 0.500

As for the density: 764 kg/m³. The total energy is -12.41 eV for the cell shown. The value obtained for the density of states at the Fermi level is 2.36 states/eV/f.u.